The following is a meta-GGA SCAN calculation of a crystal of K2BaLi relaxed with PBEsol, from Alexandria via LeMat-Bulk.

Unit cell a=4.286 b=4.286 c=14.007 alpha=81.20 beta=81.20 gamma=60.00
Each line ends with the local moment (μB).
Positions (direct):
K 0.760 0.760 0.721  0.00
K 0.240 0.240 0.279  0.00
Li 0.500 0.500 0.500  0.00
Ba 0.000 0.000 0.000  0.07

Output
energy of formation from the pure elements = 0.157 eV per atom
energy relative to the lowest polymorph listed for this composition = 0.086 eV/atom
size of the total moment = 0.50 μB per formula unit
VASP energy = -57.97 eV per formula unit